# 1
## LiAsC2 (PBE)

Data for a geometry-optimized LiAsC2 structure.

Unit cell a=5.063 b=5.063 c=8.251 alpha=90.00 beta=90.00 gamma=90.00
Space group I-42d (No. 122)
Symmetry-distinct sites (fractional):
Li1 0.000 0.000 0.000 (multiplicity 4)
As1 0.000 0.000 0.500 (multiplicity 4)
C1 0.206 0.250 0.625 (multiplicity 8)

## Properties
Raw total energy ... -4.9744 eV/atom
ΔE_f ... 1278 meV per atom
Magnetic moment ... 7.19 μB per cell
Calculated volume ... 211.50 Å³ per cell



# 2
## Li3AsC (PBE)

Data for a geometry-optimized Li3AsC structure.

Unit cell a=4.787 b=4.787 c=4.787 alpha=90.00 beta=90.00 gamma=90.00
Space group Pm-3m (No. 221)
Symmetry-distinct sites (fractional):
Li1 0.000 0.000 0.500 (multiplicity 3)
As1 0.000 0.000 0.000 (multiplicity 1)
C1 0.500 0.500 0.500 (multiplicity 1)

## Properties
Raw total energy ... -3.0045 eV/atom
ΔE_f ... 918 meV per atom
Magnetic moment ... 2.00 μB per cell
Calculated volume ... 109.72 Å³ per cell



# 3
## LiAs3C (PBE)

Data for a geometry-optimized LiAs3C structure.

Unit cell a=4.416 b=4.416 c=4.416 alpha=90.00 beta=90.00 gamma=90.00
Space group Pm-3m (No. 221)
Symmetry-distinct sites (fractional):
Li1 0.000 0.000 0.000 (multiplicity 1)
As1 0.000 0.500 0.500 (multiplicity 3)
C1 0.500 0.500 0.500 (multiplicity 1)

## Properties
Raw total energy ... -4.1773 eV/atom
ΔE_f ... 840 meV per atom
Magnetic moment ... 0.00 μB per cell
Calculated volume ... 86.09 Å³ per cell



# 4
## LiAs3C (PBE)

Data for a geometry-optimized LiAs3C structure.

Unit cell a=4.437 b=4.437 c=4.437 alpha=90.00 beta=90.00 gamma=90.00
Space group Pm-3m (No. 221)
Symmetry-distinct sites (fractional):
Li1 0.000 0.000 0.000 (multiplicity 1)
As1 0.000 0.000 0.500 (multiplicity 3)
C1 0.500 0.500 0.500 (multiplicity 1)

## Properties
Raw total energy ... -3.3191 eV/atom
ΔE_f ... 1698 meV per atom
Magnetic moment ... 0.00 μB per cell
Calculated volume ... 87.37 Å³ per cell



# 5
## LiAs2C (PBE)

Data for a geometry-optimized LiAs2C structure.

Unit cell a=6.014 b=6.014 c=7.097 alpha=90.00 beta=90.00 gamma=90.00
Space group I-42d (No. 122)
Symmetry-distinct sites (fractional):
Li1 0.000 0.000 0.000 (multiplicity 4)
As1 0.174 0.250 0.625 (multiplicity 8)
C1 0.000 0.000 0.500 (multiplicity 4)

## Properties
Raw total energy ... -4.6890 eV/atom
ΔE_f ... 420 meV per atom
Magnetic moment ... 0.00 μB per cell
Calculated volume ... 256.66 Å³ per cell



# 6
## Li2AsPCO7 (PBE)

Data for a geometry-optimized Li2AsPCO7 structure.

Unit cell a=5.100 b=6.500 c=9.055 alpha=90.00 beta=92.03 gamma=90.00
Space group P2_1/m (No. 11)
Symmetry-distinct sites (fractional):
Li1 0.234 0.035 0.284 (multiplicity 4)
As1 0.354 0.250 0.863 (multiplicity 2)
P1 0.260 0.750 0.886 (multiplicity 2)
C1 0.264 0.250 0.583 (multiplicity 2)
O1 0.027 0.250 0.163 (multiplicity 2)
O2 0.053 0.250 0.657 (multiplicity 2)
O3 0.282 0.250 0.446 (multiplicity 2)
O4 0.284 0.750 0.063 (multiplicity 2)
O5 0.417 0.562 0.829 (multiplicity 4)
O6 0.491 0.250 0.670 (multiplicity 2)

## Properties
Raw total energy ... -6.6193 eV/atom
Magnetic moment ... 0.00 μB per cell
Calculated volume ... 299.96 Å³ per cell
Raw formation energy ... -1.80 eV/atom



# 7
## Li2AsOsC (PBE)

Data for a geometry-optimized Li2AsOsC structure.

Unit cell a=4.835 b=4.835 c=3.801 alpha=90.00 beta=90.00 gamma=90.00
Space group P4/mmm (No. 123)
Symmetry-distinct sites (fractional):
Li1 0.000 0.500 0.000 (multiplicity 2)
As1 0.000 0.000 0.500 (multiplicity 1)
Os1 0.500 0.500 0.000 (multiplicity 1)
C1 0.500 0.500 0.500 (multiplicity 1)

## Properties
Raw total energy ... -4.8126 eV/atom
ΔE_f ... 974 meV per atom
Magnetic moment ... 0.00 μB per cell
Calculated volume ... 88.85 Å³ per cell



# 8
## LiAs2PbC (PBE)

Data for a geometry-optimized LiAs2PbC structure.

Unit cell a=5.552 b=5.552 c=4.535 alpha=90.00 beta=90.00 gamma=90.00
Space group P4/mmm (No. 123)
Symmetry-distinct sites (fractional):
Li1 0.000 0.000 0.000 (multiplicity 1)
As1 0.000 0.500 0.500 (multiplicity 2)
Pb1 0.500 0.500 0.500 (multiplicity 1)
C1 0.500 0.500 0.000 (multiplicity 1)

## Properties
Raw total energy ... -3.2785 eV/atom
ΔE_f ... 1550 meV per atom
Magnetic moment ... 0.31 μB per cell
Calculated volume ... 139.79 Å³ per cell